(1)
# TaAsO2F PBEsol relaxed
data_TaAsO2F
_chemical_formula_sum 'Ta1 As1 O2 F1'
_cell_length_a 4.1055
_cell_length_b 4.1055
_cell_length_c 3.9334
_cell_angle_alpha 90.00
_cell_angle_beta 90.00
_cell_angle_gamma 90.00
_symmetry_space_group_name_H-M 'P 1'
_symmetry_Int_Tables_number 1
loop_
_symmetry_equiv_pos_as_xyz
'x,y,z'
loop_
_atom_site_label
_atom_site_type_symbol
_atom_site_fract_x
_atom_site_fract_y
_atom_site_fract_z
Ta1 Ta 0.0000 0.0000 0.0000
As1 As 0.5000 0.5000 0.5000
O1 O 0.0000 0.5000 0.5000
O2 O 0.5000 0.0000 0.5000
F1 F 0.5000 0.5000 0.0000
# energy relative to the elements, uncorrected: -0.0648 eV/atom
# M_tot: 0.598 μB/atom
# calculated total energy: -6.0814 eV per atom

(2)
# SrInCu2 PBEsol relaxed
data_SrInCu2
_chemical_formula_sum 'Sr2 In2 Cu4'
_cell_length_a 7.4681
_cell_length_b 4.3121
_cell_length_c 6.1221
_cell_angle_alpha 90.00
_cell_angle_beta 114.08
_cell_angle_gamma 90.00
_symmetry_space_group_name_H-M 'P 1'
_symmetry_Int_Tables_number 1
loop_
_symmetry_equiv_pos_as_xyz
'x,y,z'
loop_
_atom_site_label
_atom_site_type_symbol
_atom_site_fract_x
_atom_site_fract_y
_atom_site_fract_z
Sr1 Sr 0.0000 0.0000 0.0000
Sr2 Sr 0.5000 0.5000 0.0000
In1 In 0.1929 0.0000 0.5800
In2 In 0.6929 0.5000 0.5800
Cu1 Cu 0.2986 0.5000 0.3978
Cu2 Cu 0.4674 0.0000 0.4042
Cu3 Cu 0.7986 0.0000 0.3978
Cu4 Cu 0.9674 0.5000 0.4042
# M_tot: 0.000 μB/atom
# calculated total energy: -3.5011 eV per atom
# formation energy from the elements: -128 meV/atom

(3)
# GdThRu2 PBEsol relaxed
data_GdThRu2
_chemical_formula_sum 'Gd4 Th4 Ru8'
_cell_length_a 6.8767
_cell_length_b 6.8767
_cell_length_c 6.8767
_cell_angle_alpha 90.00
_cell_angle_beta 90.00
_cell_angle_gamma 90.00
_symmetry_space_group_name_H-M 'P 1'
_symmetry_Int_Tables_number 1
loop_
_symmetry_equiv_pos_as_xyz
'x,y,z'
loop_
_atom_site_label
_atom_site_type_symbol
_atom_site_fract_x
_atom_site_fract_y
_atom_site_fract_z
Gd1 Gd 0.0000 0.0000 0.0000
Gd2 Gd 0.0000 0.5000 0.5000
Gd3 Gd 0.5000 0.0000 0.5000
Gd4 Gd 0.5000 0.5000 0.0000
Th1 Th 0.0000 0.0000 0.5000
Th2 Th 0.0000 0.5000 0.0000
Th3 Th 0.5000 0.0000 0.0000
Th4 Th 0.5000 0.5000 0.5000
Ru1 Ru 0.2500 0.2500 0.2500
Ru2 Ru 0.2500 0.2500 0.7500
Ru3 Ru 0.2500 0.7500 0.2500
Ru4 Ru 0.2500 0.7500 0.7500
Ru5 Ru 0.7500 0.2500 0.2500
Ru6 Ru 0.7500 0.2500 0.7500
Ru7 Ru 0.7500 0.7500 0.2500
Ru8 Ru 0.7500 0.7500 0.7500
# M_tot: 1.736 μB/atom
# calculated total energy: -11.0230 eV per atom
# formation energy from the elements: -298 meV/atom

(4)
# ZnP PBEsol relaxed
data_ZnP
_chemical_formula_sum 'Zn6 P6'
_cell_length_a 3.7867
_cell_length_b 3.7867
_cell_length_c 15.8939
_cell_angle_alpha 90.00
_cell_angle_beta 90.00
_cell_angle_gamma 120.00
_symmetry_space_group_name_H-M 'P 1'
_symmetry_Int_Tables_number 1
loop_
_symmetry_equiv_pos_as_xyz
'x,y,z'
loop_
_atom_site_label
_atom_site_type_symbol
_atom_site_fract_x
_atom_site_fract_y
_atom_site_fract_z
Zn1 Zn 0.0000 0.0000 0.1189
Zn2 Zn 0.0000 0.0000 0.8811
Zn3 Zn 0.3333 0.6667 0.5478
Zn4 Zn 0.3333 0.6667 0.7856
Zn5 Zn 0.6667 0.3333 0.2144
Zn6 Zn 0.6667 0.3333 0.4522
P1 P 0.0000 0.0000 0.2778
P2 P 0.0000 0.0000 0.7222
P3 P 0.3333 0.6667 0.3888
P4 P 0.3333 0.6667 0.9445
P5 P 0.6667 0.3333 0.0555
P6 P 0.6667 0.3333 0.6112
# M_tot: 0.000 μB/atom
# calculated total energy: -3.5236 eV per atom
# formation energy from the elements: 163 meV/atom

(5)
# LaPb3Se PBEsol relaxed
data_LaPb3Se
_chemical_formula_sum 'La1 Pb3 Se1'
_cell_length_a 5.5342
_cell_length_b 5.5342
_cell_length_c 5.5342
_cell_angle_alpha 90.00
_cell_angle_beta 90.00
_cell_angle_gamma 90.00
_symmetry_space_group_name_H-M 'P 1'
_symmetry_Int_Tables_number 1
loop_
_symmetry_equiv_pos_as_xyz
'x,y,z'
loop_
_atom_site_label
_atom_site_type_symbol
_atom_site_fract_x
_atom_site_fract_y
_atom_site_fract_z
La1 La 0.0000 0.0000 0.0000
Pb1 Pb 0.0000 0.5000 0.5000
Pb2 Pb 0.5000 0.0000 0.5000
Pb3 Pb 0.5000 0.5000 0.0000
Se1 Se 0.5000 0.5000 0.5000
# energy relative to the elements, uncorrected: 0.0555 eV/atom
# M_tot: 0.000 μB/atom
# calculated total energy: -4.1831 eV per atom

(6)
# MnAlSi PBEsol relaxed
data_MnAlSi
_chemical_formula_sum 'Mn2 Al2 Si2'
_cell_length_a 2.6692
_cell_length_b 2.6692
_cell_length_c 10.8246
_cell_angle_alpha 90.00
_cell_angle_beta 90.00
_cell_angle_gamma 90.00
_symmetry_space_group_name_H-M 'P 1'
_symmetry_Int_Tables_number 1
loop_
_symmetry_equiv_pos_as_xyz
'x,y,z'
loop_
_atom_site_label
_atom_site_type_symbol
_atom_site_fract_x
_atom_site_fract_y
_atom_site_fract_z
Mn1 Mn 0.0000 0.0000 0.0000
Mn2 Mn 0.5000 0.5000 0.5000
Al1 Al 0.0000 0.0000 0.6611
Al2 Al 0.5000 0.5000 0.1611
Si1 Si 0.0000 0.0000 0.3585
Si2 Si 0.5000 0.5000 0.8585
# energy relative to the elements, uncorrected: -0.0899 eV/atom
# M_tot: 0.516 μB/atom
# calculated total energy: -6.6230 eV per atom

(7)
# InCu2Hg2 PBEsol relaxed
data_InCu2Hg2
_chemical_formula_sum 'In2 Cu4 Hg4'
_cell_length_a 3.3825
_cell_length_b 3.3825
_cell_length_c 16.7878
_cell_angle_alpha 90.00
_cell_angle_beta 90.00
_cell_angle_gamma 90.00
_symmetry_space_group_name_H-M 'P 1'
_symmetry_Int_Tables_number 1
loop_
_symmetry_equiv_pos_as_xyz
'x,y,z'
loop_
_atom_site_label
_atom_site_type_symbol
_atom_site_fract_x
_atom_site_fract_y
_atom_site_fract_z
In1 In 0.0000 0.0000 0.0000
In2 In 0.5000 0.5000 0.5000
Cu1 Cu 0.0000 0.5000 0.2500
Cu2 Cu 0.0000 0.5000 0.7500
Cu3 Cu 0.5000 0.0000 0.2500
Cu4 Cu 0.5000 0.0000 0.7500
Hg1 Hg 0.0000 0.0000 0.3774
Hg2 Hg 0.0000 0.0000 0.6226
Hg3 Hg 0.5000 0.5000 0.1226
Hg4 Hg 0.5000 0.5000 0.8774
# M_tot: 0.000 μB/atom
# calculated total energy: -2.4159 eV per atom
# formation energy from the elements: 141 meV/atom

(8)
# YScAs2 PBEsol relaxed
data_YScAs2
_chemical_formula_sum 'Y1 Sc1 As2'
_cell_length_a 3.9588
_cell_length_b 3.9588
_cell_length_c 5.5905
_cell_angle_alpha 90.00
_cell_angle_beta 90.00
_cell_angle_gamma 90.00
_symmetry_space_group_name_H-M 'P 1'
_symmetry_Int_Tables_number 1
loop_
_symmetry_equiv_pos_as_xyz
'x,y,z'
loop_
_atom_site_label
_atom_site_type_symbol
_atom_site_fract_x
_atom_site_fract_y
_atom_site_fract_z
Y1 Y 0.0000 0.0000 0.0000
Sc1 Sc 0.5000 0.5000 0.5000
As1 As 0.0000 0.0000 0.5000
As2 As 0.5000 0.5000 0.0000
# energy relative to the lowest polymorph listed for this composition: 30.6 meV per atom
# M_tot: 0.000 μB/atom
# calculated total energy: -7.3660 eV per atom
# formation energy from the elements: -1456 meV/atom